! PmPdNO, relaxed, DFT PBE-GGA; values from VASP
! **Total DFT energy (no corrections)**: -56.9 eV/cell
! **SG**: P4/nmm (129)
! **Energy above the lowest structure with this stoichiometry**: 0.00 kJ/mol of atoms
&SYSTEM
  ibrav = 0, nat = 8, ntyp = 4
/
ATOMIC_SPECIES
N 14.01 N.upf
O 16.00 O.upf
Pd 106.42 Pd.upf
Pm 145.00 Pm.upf
ATOMIC_POSITIONS crystal
N 0.000 0.500 0.451
N 0.500 0.000 0.549
O 0.000 0.000 0.000
O 0.500 0.500 0.000
Pd 0.000 0.000 0.500
Pd 0.500 0.500 0.500
Pm 0.000 0.500 0.140
Pm 0.500 0.000 0.860
CELL_PARAMETERS angstrom
4.183 0.000 0.000
0.000 4.183 0.000
0.000 0.000 7.475